The following is a GGA-PBE calculation of a geometry-optimized Ni3SbOs structure, from Alexandria.

Space-group type = Pm-3m, No. 221
Energy above the most stable polymorph in this dataset = 0.000 eV per atom
M_tot = 0.0 Bohr magnetons per cell
Calculated volume = 18.6 Å³/atom
Uncorrected energy = -5.3975 eV per atom

Cell: 4.534 4.534 4.534 Å, 90.00 90.00 90.00°
Sites, in units of the cell vectors:
Ni1 0.000 0.000 0.500
Ni2 0.000 0.500 0.000
Ni3 0.500 0.000 0.000
Sb1 0.500 0.500 0.500
Os1 0.000 0.000 0.000

***

The following is a GGA-PBE calculation of a geometry-optimized Tb6Cd2In structure, from Alexandria.

Space-group type = Immm, No. 71
ΔE_f = 0.035 eV per atom
M_tot = 0.0 Bohr magnetons per cell
Calculated volume = 32.6 Å³/atom
Uncorrected energy = -3.5594 eV per atom

Cell: 8.960 8.960 8.960 Å, 146.54 131.60 60.12°
Sites, in units of the cell vectors:
Tb1 0.081 0.332 0.749
Tb2 0.246 0.000 0.246
Tb3 0.416 0.668 0.749
Tb4 0.584 0.332 0.251
Tb5 0.754 0.000 0.754
Tb6 0.919 0.668 0.251
Cd1 0.167 0.167 0.000
Cd2 0.833 0.833 0.000
In1 0.500 0.500 0.000